Entry 1:
# Na3DyU2Te6 | the Alexandria database | PBE-GGA | relaxed
data_Na3DyU2Te6
_chemical_formula_sum 'Na6 Dy2 U4 Te12'
_cell_length_a 7.660
_cell_length_b 13.268
_cell_length_c 8.027
_cell_angle_alpha 90.00
_cell_angle_beta 108.54
_cell_angle_gamma 90.00
_space_group_name_H-M_alt 'C 1 2/m 1'
_space_group_IT_number 12
loop_
_space_group_symop_operation_xyz
'x,y,z'
'-x,-y,-z'
'-x,y,-z'
'x,-y,z'
'x+1/2,y+1/2,z'
'-x+1/2,-y+1/2,-z'
'-x+1/2,y+1/2,-z'
'x+1/2,-y+1/2,z'
loop_
_atom_site_label
_atom_site_type_symbol
_atom_site_fract_x
_atom_site_fract_y
_atom_site_fract_z
_atom_site_occupancy
Na1 Na 0.000 0.000 0.000 1
Na2 Na 0.000 0.333 0.000 1
Dy1 Dy 0.000 0.500 0.500 1
U1 U 0.000 0.167 0.500 1
Te1 Te 0.244 0.335 0.736 1
Te2 Te 0.248 0.000 0.735 1
# Formation energy without anion corrections: -0.94 eV per atom
# Crystal system: monoclinic


Entry 2:
# Na4Dy3UTe8 | the Alexandria database | PBE-GGA | relaxed
data_Na4Dy3UTe8
_chemical_formula_sum 'Na12 Dy9 U3 Te24'
_cell_length_a 8.8659
_cell_length_b 8.8659
_cell_length_c 22.7097
_cell_angle_alpha 90.00
_cell_angle_beta 90.00
_cell_angle_gamma 120.00
_space_group_name_H-M_alt 'R -3 m'
_space_group_IT_number 166
_space_group_name_Hall '-R 3 2"'
loop_
_atom_site_label
_atom_site_type_symbol
_atom_site_fract_x
_atom_site_fract_y
_atom_site_fract_z
_atom_site_occupancy
Na1 Na 0.0000 0.0000 0.0000 1
Na2 Na 0.0000 0.5000 0.0000 1
Dy1 Dy 0.0000 0.5000 0.5000 1
U1 U 0.0000 0.0000 0.5000 1
Te1 Te 0.0000 0.0000 0.2440 1
Te2 Te 0.0032 0.5016 0.7554 1
# Formation energy without anion corrections: -1.17 eV per atom
# Crystal system: trigonal


Entry 3:
# Na3Dy3UTe8 | the Alexandria database | PBE-GGA | relaxed
data_Na3Dy3UTe8
_chemical_formula_sum 'Na9 Dy9 U3 Te24'
_cell_length_a 8.8166
_cell_length_b 8.8166
_cell_length_c 22.8047
_cell_angle_alpha 90.00
_cell_angle_beta 90.00
_cell_angle_gamma 120.00
_space_group_name_H-M_alt 'R -3 m'
_space_group_IT_number 166
_space_group_name_Hall '-R 3 2"'
loop_
_atom_site_label
_atom_site_type_symbol
_atom_site_fract_x
_atom_site_fract_y
_atom_site_fract_z
_atom_site_occupancy
Na1 Na 0.0000 0.5000 0.0000 1
Dy1 Dy 0.0000 0.5000 0.5000 1
U1 U 0.0000 0.0000 0.5000 1
Te1 Te 0.0000 0.0000 0.2443 1
Te2 Te 0.9995 0.4998 0.2432 1
# Formation energy without anion corrections: -1.16 eV per atom
# Crystal system: trigonal


Entry 4:
# Na3Dy2UTe6 | the Alexandria database | PBE-GGA | relaxed
data_Na3Dy2UTe6
_chemical_formula_sum 'Na6 Dy4 U2 Te12'
_cell_length_a 7.692
_cell_length_b 13.324
_cell_length_c 8.003
_cell_angle_alpha 90.00
_cell_angle_beta 108.69
_cell_angle_gamma 90.00
_space_group_name_H-M_alt 'C 1 2/m 1'
_space_group_IT_number 12
loop_
_space_group_symop_operation_xyz
'x,y,z'
'-x,-y,-z'
'-x,y,-z'
'x,-y,z'
'x+1/2,y+1/2,z'
'-x+1/2,-y+1/2,-z'
'-x+1/2,y+1/2,-z'
'x+1/2,-y+1/2,z'
loop_
_atom_site_label
_atom_site_type_symbol
_atom_site_fract_x
_atom_site_fract_y
_atom_site_fract_z
_atom_site_occupancy
Na1 Na 0.000 0.000 0.000 1
Na2 Na 0.000 0.334 0.000 1
Dy1 Dy 0.000 0.167 0.500 1
U1 U 0.000 0.500 0.500 1
Te1 Te 0.241 0.000 0.734 1
Te2 Te 0.247 0.331 0.734 1
# Formation energy without anion corrections: -1.12 eV per atom
# Crystal system: monoclinic


Entry 5:
# Na2Dy2UTe6 | the Alexandria database | PBE-GGA | relaxed
data_Na2Dy2UTe6
_chemical_formula_sum 'Na4 Dy4 U2 Te12'
_cell_length_a 7.633
_cell_length_b 13.173
_cell_length_c 8.038
_cell_angle_alpha 90.00
_cell_angle_beta 108.53
_cell_angle_gamma 90.00
_space_group_name_H-M_alt 'C 1 2/m 1'
_space_group_IT_number 12
loop_
_space_group_symop_operation_xyz
'x,y,z'
'-x,-y,-z'
'-x,y,-z'
'x,-y,z'
'x+1/2,y+1/2,z'
'-x+1/2,-y+1/2,-z'
'-x+1/2,y+1/2,-z'
'x+1/2,-y+1/2,z'
loop_
_atom_site_label
_atom_site_type_symbol
_atom_site_fract_x
_atom_site_fract_y
_atom_site_fract_z
_atom_site_occupancy
Na1 Na 0.000 0.168 0.000 1
Dy1 Dy 0.000 0.332 0.500 1
U1 U 0.000 0.000 0.500 1
Te1 Te 0.244 0.165 0.731 1
Te2 Te 0.245 0.500 0.729 1
# Formation energy without anion corrections: -1.11 eV per atom
# Crystal system: monoclinic


Entry 6:
# Na3DyY2Te6 | the Alexandria database | PBE-GGA | relaxed
data_Na3DyY2Te6
_chemical_formula_sum 'Na6 Dy2 Y4 Te12'
_cell_length_a 7.670
_cell_length_b 13.286
_cell_length_c 7.988
_cell_angle_alpha 90.00
_cell_angle_beta 108.67
_cell_angle_gamma 90.00
_space_group_name_H-M_alt 'C 1 2/m 1'
_space_group_IT_number 12
loop_
_space_group_symop_operation_xyz
'x,y,z'
'-x,-y,-z'
'-x,y,-z'
'x,-y,z'
'x+1/2,y+1/2,z'
'-x+1/2,-y+1/2,-z'
'-x+1/2,y+1/2,-z'
'x+1/2,-y+1/2,z'
loop_
_atom_site_label
_atom_site_type_symbol
_atom_site_fract_x
_atom_site_fract_y
_atom_site_fract_z
_atom_site_occupancy
Na1 Na 0.000 0.000 0.000 1
Na2 Na 0.000 0.333 0.000 1
Dy1 Dy 0.000 0.500 0.500 1
Y1 Y 0.000 0.167 0.500 1
Te1 Te 0.244 0.000 0.732 1
Te2 Te 0.244 0.333 0.732 1
# Formation energy without anion corrections: -1.33 eV per atom
# Crystal system: monoclinic


Entry 7:
# Na3Dy3YTe8 | the Alexandria database | PBE-GGA | relaxed
data_Na3Dy3YTe8
_chemical_formula_sum 'Na9 Dy9 Y3 Te24'
_cell_length_a 8.7288
_cell_length_b 8.7288
_cell_length_c 23.0506
_cell_angle_alpha 90.00
_cell_angle_beta 90.00
_cell_angle_gamma 120.00
_space_group_name_H-M_alt 'R -3 m'
_space_group_IT_number 166
_space_group_name_Hall '-R 3 2"'
loop_
_atom_site_label
_atom_site_type_symbol
_atom_site_fract_x
_atom_site_fract_y
_atom_site_fract_z
_atom_site_occupancy
Na1 Na 0.0000 0.5000 0.0000 1
Dy1 Dy 0.0000 0.5000 0.5000 1
Y1 Y 0.0000 0.0000 0.5000 1
Te1 Te 0.0000 0.0000 0.2444 1
Te2 Te 0.0026 0.5013 0.7560 1
# Formation energy without anion corrections: -1.25 eV per atom
# Crystal system: trigonal


Entry 8:
# Na2DyYTe4 | the Alexandria database | PBE-GGA | relaxed
data_Na2DyYTe4
_chemical_formula_sum 'Na2 Dy1 Y1 Te4'
_cell_length_a 7.667
_cell_length_b 4.430
_cell_length_c 7.988
_cell_angle_alpha 90.00
_cell_angle_beta 108.65
_cell_angle_gamma 90.00
_space_group_name_H-M_alt 'P 1 2/m 1'
_space_group_IT_number 10
loop_
_space_group_symop_operation_xyz
'x,y,z'
'-x,-y,-z'
'-x,y,-z'
'x,-y,z'
loop_
_atom_site_label
_atom_site_type_symbol
_atom_site_fract_x
_atom_site_fract_y
_atom_site_fract_z
_atom_site_occupancy
Na1 Na 0.000 0.000 0.000 1
Na2 Na 0.500 0.500 0.000 1
Dy1 Dy 0.000 0.500 0.500 1
Y1 Y 0.500 0.000 0.500 1
Te1 Te 0.244 0.000 0.732 1
Te2 Te 0.256 0.500 0.268 1
# Formation energy without anion corrections: -1.32 eV per atom
# Crystal system: monoclinic


Entry 9:
# Na3Dy2YTe6 | the Alexandria database | PBE-GGA | relaxed
data_Na3Dy2YTe6
_chemical_formula_sum 'Na6 Dy4 Y2 Te12'
_cell_length_a 7.669
_cell_length_b 13.283
_cell_length_c 7.987
_cell_angle_alpha 90.00
_cell_angle_beta 108.67
_cell_angle_gamma 90.00
_space_group_name_H-M_alt 'C 1 2/m 1'
_space_group_IT_number 12
loop_
_space_group_symop_operation_xyz
'x,y,z'
'-x,-y,-z'
'-x,y,-z'
'x,-y,z'
'x+1/2,y+1/2,z'
'-x+1/2,-y+1/2,-z'
'-x+1/2,y+1/2,-z'
'x+1/2,-y+1/2,z'
loop_
_atom_site_label
_atom_site_type_symbol
_atom_site_fract_x
_atom_site_fract_y
_atom_site_fract_z
_atom_site_occupancy
Na1 Na 0.000 0.000 0.000 1
Na2 Na 0.000 0.333 0.000 1
Dy1 Dy 0.000 0.167 0.500 1
Y1 Y 0.000 0.500 0.500 1
Te1 Te 0.244 0.000 0.732 1
Te2 Te 0.244 0.333 0.732 1
# Formation energy without anion corrections: -1.32 eV per atom
# Crystal system: monoclinic


Entry 10:
# NaDy2Y3Te6 | the Alexandria database | PBE-GGA | relaxed
data_NaDy2Y3Te6
_chemical_formula_sum 'Na2 Dy4 Y6 Te12'
_cell_length_a 19.126
_cell_length_b 4.362
_cell_length_c 8.805
_cell_angle_alpha 90.00
_cell_angle_beta 103.48
_cell_angle_gamma 90.00
_space_group_name_H-M_alt 'C 1 2/m 1'
_space_group_IT_number 12
loop_
_space_group_symop_operation_xyz
'x,y,z'
'-x,-y,-z'
'-x,y,-z'
'x,-y,z'
'x+1/2,y+1/2,z'
'-x+1/2,-y+1/2,-z'
'-x+1/2,y+1/2,-z'
'x+1/2,-y+1/2,z'
loop_
_atom_site_label
_atom_site_type_symbol
_atom_site_fract_x
_atom_site_fract_y
_atom_site_fract_z
_atom_site_occupancy
Na1 Na 0.000 0.000 0.000 1
Dy1 Dy 0.169 0.500 0.342 1
Y1 Y 0.000 0.000 0.500 1
Y2 Y 0.164 0.500 0.825 1
Te1 Te 0.002 0.500 0.252 1
Te2 Te 0.165 0.000 0.583 1
Te3 Te 0.169 0.000 0.084 1
# Formation energy without anion corrections: -1.31 eV per atom
# Crystal system: monoclinic


Entry 11:
# NaDyY2Te4 | the Alexandria database | PBE-GGA | relaxed
data_NaDyY2Te4
_chemical_formula_sum 'Na1 Dy1 Y2 Te4'
_cell_length_a 7.629
_cell_length_b 4.354
_cell_length_c 7.633
_cell_angle_alpha 90.00
_cell_angle_beta 108.90
_cell_angle_gamma 90.00
_space_group_name_H-M_alt 'P 1 2/m 1'
_space_group_IT_number 10
loop_
_space_group_symop_operation_xyz
'x,y,z'
'-x,-y,-z'
'-x,y,-z'
'x,-y,z'
loop_
_atom_site_label
_atom_site_type_symbol
_atom_site_fract_x
_atom_site_fract_y
_atom_site_fract_z
_atom_site_occupancy
Na1 Na 0.000 0.000 0.000 1
Dy1 Dy 0.500 0.500 0.000 1
Y1 Y 0.000 0.500 0.500 1
Y2 Y 0.500 0.000 0.500 1
Te1 Te 0.251 0.000 0.751 1
Te2 Te 0.253 0.500 0.252 1
# Formation energy without anion corrections: -1.32 eV per atom
# Crystal system: monoclinic


Entry 12:
# Na2DyY3Te6 | the Alexandria database | PBE-GGA | relaxed
data_Na2DyY3Te6
_chemical_formula_sum 'Na4 Dy2 Y6 Te12'
_cell_length_a 7.609
_cell_length_b 13.165
_cell_length_c 7.708
_cell_angle_alpha 90.00
_cell_angle_beta 109.15
_cell_angle_gamma 90.00
_space_group_name_H-M_alt 'C 1 2/m 1'
_space_group_IT_number 12
loop_
_space_group_symop_operation_xyz
'x,y,z'
'-x,-y,-z'
'-x,y,-z'
'x,-y,z'
'x+1/2,y+1/2,z'
'-x+1/2,-y+1/2,-z'
'-x+1/2,y+1/2,-z'
'x+1/2,-y+1/2,z'
loop_
_atom_site_label
_atom_site_type_symbol
_atom_site_fract_x
_atom_site_fract_y
_atom_site_fract_z
_atom_site_occupancy
Na1 Na 0.000 0.166 0.000 1
Dy1 Dy 0.000 0.500 0.000 1
Y1 Y 0.000 0.000 0.500 1
Y2 Y 0.000 0.331 0.500 1
Te1 Te 0.243 0.500 0.744 1
Te2 Te 0.249 0.335 0.252 1
# Formation energy without anion corrections: -1.32 eV per atom
# Crystal system: monoclinic


Which value of formation energy without anion corrections does entry 3 give?
-1.16 eV per atom


Please write out number 9 again, unchanged.
# Na3Dy2YTe6 | the Alexandria database | PBE-GGA | relaxed
data_Na3Dy2YTe6
_chemical_formula_sum 'Na6 Dy4 Y2 Te12'
_cell_length_a 7.669
_cell_length_b 13.283
_cell_length_c 7.987
_cell_angle_alpha 90.00
_cell_angle_beta 108.67
_cell_angle_gamma 90.00
_space_group_name_H-M_alt 'C 1 2/m 1'
_space_group_IT_number 12
loop_
_space_group_symop_operation_xyz
'x,y,z'
'-x,-y,-z'
'-x,y,-z'
'x,-y,z'
'x+1/2,y+1/2,z'
'-x+1/2,-y+1/2,-z'
'-x+1/2,y+1/2,-z'
'x+1/2,-y+1/2,z'
loop_
_atom_site_label
_atom_site_type_symbol
_atom_site_fract_x
_atom_site_fract_y
_atom_site_fract_z
_atom_site_occupancy
Na1 Na 0.000 0.000 0.000 1
Na2 Na 0.000 0.333 0.000 1
Dy1 Dy 0.000 0.167 0.500 1
Y1 Y 0.000 0.500 0.500 1
Te1 Te 0.244 0.000 0.732 1
Te2 Te 0.244 0.333 0.732 1
# Formation energy without anion corrections: -1.32 eV per atom
# Crystal system: monoclinic


Please write out number 8 again, unchanged.
# Na2DyYTe4 | the Alexandria database | PBE-GGA | relaxed
data_Na2DyYTe4
_chemical_formula_sum 'Na2 Dy1 Y1 Te4'
_cell_length_a 7.667
_cell_length_b 4.430
_cell_length_c 7.988
_cell_angle_alpha 90.00
_cell_angle_beta 108.65
_cell_angle_gamma 90.00
_space_group_name_H-M_alt 'P 1 2/m 1'
_space_group_IT_number 10
loop_
_space_group_symop_operation_xyz
'x,y,z'
'-x,-y,-z'
'-x,y,-z'
'x,-y,z'
loop_
_atom_site_label
_atom_site_type_symbol
_atom_site_fract_x
_atom_site_fract_y
_atom_site_fract_z
_atom_site_occupancy
Na1 Na 0.000 0.000 0.000 1
Na2 Na 0.500 0.500 0.000 1
Dy1 Dy 0.000 0.500 0.500 1
Y1 Y 0.500 0.000 0.500 1
Te1 Te 0.244 0.000 0.732 1
Te2 Te 0.256 0.500 0.268 1
# Formation energy without anion corrections: -1.32 eV per atom
# Crystal system: monoclinic